# Mg6NiRh2 PBE optimized geometry
data_Mg6NiRh2
_chemical_formula_sum 'Mg12 Ni2 Rh4'
_symmetry_space_group_name_H-M 'P 42/m n m'
_symmetry_Int_Tables_number 136
_symmetry_space_group_name_Hall '-P 4n 2n'
_cell_length_a 8.363
_cell_length_b 8.363
_cell_length_c 4.349
_cell_angle_alpha 90.00
_cell_angle_beta 90.00
_cell_angle_gamma 90.00
loop_
_atom_site_label
_atom_site_type_symbol
_atom_site_fract_x
_atom_site_fract_y
_atom_site_fract_z
_atom_site_occupancy
Mg1 Mg 0.031 0.310 0.000 1
Mg2 Mg 0.124 0.876 0.500 1
Ni1 Ni 0.000 0.000 0.000 1
Rh1 Rh 0.203 0.203 0.500 1
# E   -3.65 eV per atom
# Spin magnetization   0.0 μB/f.u.
# Energy of formation from the pure elements   -0.316 eV/atom
# DOS at the Fermi energy   0.553 states/eV per atom